Material: LiBeFe2
Method: DFT, PBE
State: optimized geometry

Computed properties:
For the total energy, the calculation gives -5.38 eV/atom. As for the density: 5.12 g/cm³. As for the volume: 10.360 Å³ per atom.

Cell and atoms, written as POSCAR:
```
LiBeFe2
1.0
-5.128 -1.169 -1.585
1.676 -0.267 -5.224
1.035 -5.361 0.606
Fe Be Li
8 4 4
Direct
0.234 0.766 0.234 Fe
0.766 0.766 0.234 Fe
0.234 0.766 0.766 Fe
0.234 0.234 0.766 Fe
0.766 0.234 0.766 Fe
0.766 0.234 0.234 Fe
0.234 0.234 0.234 Fe
0.766 0.766 0.766 Fe
0.000 0.000 0.000 Be
0.000 0.500 0.000 Be
0.500 0.000 0.000 Be
0.000 0.000 0.500 Be
0.000 0.500 0.500 Li
0.500 0.500 0.500 Li
0.500 0.500 0.000 Li
0.500 0.000 0.500 Li
```